Density functional theory data (PBE-GGA) for a geometry-optimized Y3ErPt4 structure.

```
Y3ErPt4
1.0
5.5648 0.0000 0.0000
0.0000 4.5057 0.0000
-0.0354 0.0000 7.0317
Er Pt Y
1 4 3
Direct
0.1403 0.5000 0.3183
0.3434 0.0000 0.5394
0.8479 0.5000 0.9590
0.6550 0.5000 0.4544
0.1536 0.0000 0.0480
0.6407 0.0000 0.1819
0.3594 0.5000 0.8178
0.8598 0.0000 0.6812
```

Calculated values
Theoretical density   11.44 g cm⁻³
Total magnetization   0.00 μB per atom
Energy of formation from the pure elements   -983 kJ/mol of formula units
Calculated volume   176.3 Å³ per cell
DFT total energy   -58.4 eV/f.u.

Density functional theory data (PBE-GGA) for a geometry-optimized MgCuSb structure.

```
MgCuSb
1.0
4.9122 0.0000 0.0000
-2.4561 4.2541 0.0000
0.0000 0.0000 5.7833
Sb Cu Mg
2 2 2
Direct
0.3333 0.6667 0.2500
0.6667 0.3333 0.7500
0.0000 0.0000 0.0000
0.0000 0.0000 0.5000
0.6667 0.3333 0.2500
0.3333 0.6667 0.7500
```

Calculated values
Theoretical density   5.76 g cm⁻³
Calculated volume   120.9 Å³ per cell
DFT total energy   -9.1 eV/f.u.